[1]
Here is a relaxed structure of CuAgW2 from the Alexandria database. Energies are from GGA-PBE.

Output
As for the energy above the most stable polymorph in this dataset: 235 meV/atom. The calculation puts the total energy at -7.68 eV/atom. The symmetry is Cm, No. 8.

Cell lengths 4.7676, 4.7676, 5.1407 Å; angles 95.90, 95.90, 32.46 degrees
Last column: nearest neighbours and their distance in Å.
Element x y z (fractional)
Cu 0.0000 0.0000 0.0000  2 Cu 2.66, 3 Ag 2.69-2.79, 7 W 2.80-2.92
Ag 0.7495 0.7495 0.2285  2 Ag 2.66, 3 Cu 2.69-2.79, 7 W 2.82-2.96
W 0.2571 0.2571 0.7444  5 W 2.65-2.86, 3 Cu 2.80-2.82, 4 Ag 2.83-2.96
W 0.5002 0.5002 0.5060  5 W 2.65-2.86, 3 Ag 2.82-2.89, 4 Cu 2.87-2.92

[2]
Here is a relaxed structure of CuAg4W from the Alexandria database. Energies are from GGA-PBE.

Output
The calculation puts the total energy at -3.85 eV/atom. The symmetry is F-43m, No. 216.

Cell lengths 5.3474, 5.3474, 5.3474 Å; angles 60.00, 60.00, 60.00 degrees
Last column: nearest neighbours and their distance in Å.
Element x y z (fractional)
Cu 0.0000 0.0000 0.0000  12 Ag 3.14, 4 W 3.27
Ag 0.1251 0.6250 0.6250  6 Ag 2.67
Ag 0.6250 0.1251 0.6250  6 Ag 2.67
Ag 0.6250 0.6250 0.1251  6 Ag 2.67
Ag 0.6250 0.6250 0.6250  6 Ag 2.67
W 0.2500 0.2500 0.2500  12 Ag 3.14, 4 Cu 3.27

[3]
Here is a relaxed structure of CuAgW2 from the Alexandria database. Energies are from GGA-PBE.

Output
As for the energy above the most stable polymorph in this dataset: 646 meV/atom. The calculation puts the total energy at -7.27 eV/atom. The symmetry is I-42d, No. 122.

Cell lengths 10.2488, 10.2488, 10.2488 Å; angles 159.27, 159.27, 29.48 degrees
Last column: nearest neighbours and their distance in Å.
Element x y z (fractional)
Cu 0.0000 0.0000 0.0000  4 Ag 2.61, 4 W 2.79
Cu 0.7500 0.2500 0.5000  4 Ag 2.61, 4 W 2.79
Ag 0.2500 0.7500 0.5000  4 Cu 2.61, 4 W 2.81
Ag 0.5000 0.5000 0.0000  4 Cu 2.61, 4 W 2.81
W 0.1180 0.6250 0.9930  4 W 2.57-2.64, 2 Cu 2.79, 2 Ag 2.81
W 0.3750 0.3680 0.4930  4 W 2.57-2.64, 2 Cu 2.79, 2 Ag 2.81
W 0.6320 0.1250 0.0070  4 W 2.57-2.64, 2 Cu 2.79, 2 Ag 2.81
W 0.8750 0.8820 0.5070  4 W 2.57-2.64, 2 Cu 2.79, 2 Ag 2.81

[4]
Here is a relaxed structure of CuAgW2 from the Alexandria database. Energies are from GGA-PBE.

Output
As for the energy above the most stable polymorph in this dataset: 170 meV/atom. The calculation puts the total energy at -7.74 eV/atom. The symmetry is P4mm, No. 99.

Cell lengths 3.2617, 3.2617, 5.9283 Å; angles 90.00, 90.00, 90.00 degrees
Last column: nearest neighbours and their distance in Å.
Element x y z (fractional)
Cu 0.0000 0.0000 0.0000  4 Ag 2.67, 5 W 2.75-2.81
Ag 0.5000 0.5000 0.7732  4 Cu 2.67, 5 W 2.85-2.91
W 0.0000 0.0000 0.4748  4 W 2.65, 1 Cu 2.81, 4 Ag 2.91
W 0.5000 0.5000 0.2531  4 W 2.65, 4 Cu 2.75, 1 Ag 2.85

> What is the formula in the third record?

CuAgW2